Entry 1:
Pr6Ir2Br3O: optimized geometry, PBE.

abc: 6.978 6.978 8.198
angles: 98.19 98.19 120.05
Atoms (fractional coordinates):
Pr: 0.065 0.379 0.194
Pr: 0.249 0.249 0.806
Pr: 0.379 0.065 0.194
Pr: 0.621 0.935 0.806
Pr: 0.751 0.751 0.194
Pr: 0.935 0.621 0.806
Ir: 0.334 0.666 0.000
Ir: 0.666 0.334 0.000
Br: 0.172 0.828 0.500
Br: 0.500 0.500 0.500
Br: 0.828 0.172 0.500
O: 0.000 0.000 0.000

Space-group type: C2/m
Uncorrected formation energy, eV/atom: -1.327

=====

Entry 2:
Ca2Tl3Cd3: optimized geometry, PBE.

abc: 4.936 4.981 8.766
angles: 90.00 90.00 90.00
Atoms (fractional coordinates):
Ca: 0.000 0.000 0.249
Ca: 0.000 0.000 0.751
Tl: 0.000 0.500 0.500
Tl: 0.500 0.000 0.000
Tl: 0.500 0.000 0.500
Cd: 0.000 0.500 0.000
Cd: 0.500 0.500 0.241
Cd: 0.500 0.500 0.759

ΔH_f (0 K), eV per formula unit: -1.89
Space-group type: Pmmm

=====

no.,total magnetization (μB/atom),calculated volume (A^3/atom)
1,0.058,27.597
2,0.000,26.940